The following is a DFT calculation (PBE) of a relaxed structure of Ac4AsP2.

Values from the calculation:
The energy comes out at -5.754 eV/atom. As for the formation enthalpy at 0 K: -1196 meV per atom. The value obtained for the volume is 33.231 Å³ per atom. The size of the total moment comes out at 0.351 μB per formula unit. As for the density of states at the Fermi level: 4.436 states/eV/f.u.

Cell: 7.5460 7.5460 14.6835 Å, 90.00 90.00 146.19°
Positions (direct):
Ac 0.0000 0.0000 0.0000
Ac 0.0000 0.0000 0.5000
Ac 0.2751 0.7249 0.6220
Ac 0.2751 0.7249 0.8780
Ac 0.4468 0.5532 0.2500
Ac 0.5532 0.4468 0.7500
Ac 0.7249 0.2751 0.1220
Ac 0.7249 0.2751 0.3780
As 0.1041 0.8959 0.2500
As 0.8959 0.1041 0.7500
P 0.3607 0.6393 0.0622
P 0.3607 0.6393 0.4378
P 0.6393 0.3607 0.5622
P 0.6393 0.3607 0.9378

The following is a DFT calculation (PBE) of a relaxed structure of TaNbCd.

Values from the calculation:
The energy comes out at -7.499 eV/atom. As for the formation enthalpy at 0 K: 114 meV per atom. The value obtained for the volume is 19.111 Å³ per atom. The size of the total moment comes out at 0.000 μB per formula unit. As for the density of states at the Fermi level: 3.218 states/eV/f.u.

Cell: 2.8899 4.8230 8.2383 Å, 90.00 93.01 90.00°
Positions (direct):
Ta 0.1930 0.2500 0.0687
Ta 0.8070 0.7500 0.9313
Nb 0.4985 0.2500 0.7577
Nb 0.5015 0.7500 0.2423
Cd 0.0756 0.7500 0.5921
Cd 0.9244 0.2500 0.4079

The following is a DFT calculation (PBE) of a relaxed structure of YTiB2S.

Values from the calculation:
The calculation puts the formation energy without anion corrections at 1141 meV/atom. The energy comes out at -5.227 eV/atom. The value obtained for the volume is 16.637 Å³ per atom. The size of the total moment comes out at 1.270 μB per formula unit. As for the density of states at the Fermi level: 3.126 states/eV/f.u.

Cell: 4.1479 4.1479 4.8349 Å, 90.00 90.00 90.00°
Positions (direct):
Y 0.0000 0.0000 0.0000
Ti 0.5000 0.5000 0.0000
B 0.0000 0.5000 0.5000
B 0.5000 0.0000 0.5000
S 0.0000 0.0000 0.5000

The following is a DFT calculation (PBE) of a relaxed structure of Ho8Tc2Bi.

Values from the calculation:
The energy comes out at -5.744 eV/atom. As for the formation enthalpy at 0 K: -177 meV per atom. The value obtained for the volume is 27.742 Å³ per atom. The size of the total moment comes out at 0.000 μB per formula unit. As for the density of states at the Fermi level: 6.971 states/eV/f.u.

Cell: 8.3434 8.3434 6.1276 Å, 92.76 92.76 45.76°
Positions (direct):
Ho 0.0791 0.0791 0.3467
Ho 0.1302 0.6272 0.1189
Ho 0.2914 0.2914 0.6283
Ho 0.3728 0.8698 0.8811
Ho 0.6272 0.1302 0.1189
Ho 0.7086 0.7086 0.3717
Ho 0.8698 0.3728 0.8811
Ho 0.9209 0.9209 0.6533
Tc 0.2292 0.2292 0.1598
Tc 0.7708 0.7708 0.8402
Bi 0.5000 0.5000 0.5000